[1]
First-principles (PBE) data for a geometry-optimized PmPr12Co6 structure, as listed in Alexandria.

Calculated values
Space-group type: Im-3
DFT formation energy in meV/atom: -26

Cell: 8.818 8.818 8.818 Å, 109.47 109.47 109.47°
Fractional positions:
Pm 0.000 0.000 0.000
Pr 0.311 0.116 0.805
Pr 0.311 0.506 0.195
Pr 0.689 0.494 0.805
Pr 0.689 0.884 0.195
Pr 0.116 0.805 0.311
Pr 0.506 0.195 0.311
Pr 0.494 0.805 0.689
Pr 0.884 0.195 0.689
Pr 0.805 0.311 0.116
Pr 0.195 0.311 0.506
Pr 0.805 0.689 0.494
Pr 0.195 0.689 0.884
Co 0.390 0.500 0.890
Co 0.610 0.500 0.110
Co 0.500 0.890 0.390
Co 0.500 0.110 0.610
Co 0.890 0.390 0.500
Co 0.110 0.610 0.500


[2]
First-principles (PBE) data for a geometry-optimized Pm2Pr3Co2 structure, as listed in Alexandria.

Calculated values
Space-group type: C2/m
DFT formation energy in meV/atom: -42

Cell: 3.816 6.469 9.149 Å, 114.25 90.00 107.15°
Fractional positions:
Pm 0.825 0.649 0.193
Pm 0.175 0.351 0.807
Pr 0.500 0.000 0.000
Pr 0.616 0.231 0.423
Pr 0.384 0.769 0.577
Co 0.818 0.636 0.755
Co 0.182 0.364 0.245


[3]
First-principles (PBE) data for a geometry-optimized Pm4PrCo4 structure, as listed in Alexandria.

Calculated values
Space-group type: P4_2/n
DFT formation energy in meV/atom: 31

Cell: 5.743 8.614 8.614 Å, 90.00 90.00 90.00°
Fractional positions:
Pm 0.383 0.310 0.925
Pm 0.883 0.575 0.810
Pm 0.383 0.690 0.075
Pm 0.117 0.190 0.575
Pm 0.617 0.925 0.690
Pm 0.117 0.810 0.425
Pm 0.883 0.425 0.190
Pm 0.617 0.075 0.310
Pr 0.000 0.000 0.000
Pr 0.500 0.500 0.500
Co 0.639 0.766 0.360
Co 0.639 0.234 0.640
Co 0.139 0.860 0.734
Co 0.861 0.266 0.860
Co 0.861 0.734 0.140
Co 0.361 0.360 0.234
Co 0.361 0.640 0.766
Co 0.139 0.140 0.266